DFT (meta-GGA SCAN) results for AlTeIr2 at its PBEsol-relaxed geometry.

## Properties
SG ... No. 119
Density of states at the Fermi level ... 2.03 states/eV/cell
E_form (uncorrected) ... 32 kJ/mol of formula units
Total magnetization ... 0.00 μB per formula unit
Energy relative to the lowest polymorph listed for this composition ... 142 meV/atom

a b c (Å): 5.1719 5.1719 5.1719
angles (deg): 136.79 136.79 62.76
Atoms (fractional coordinates):
Al 0.0000 0.0000 0.0000
Te 0.2500 0.7500 0.5000
Ir 0.5000 0.5000 0.0000
Ir 0.7500 0.2500 0.5000

=====

DFT (meta-GGA SCAN) results for AlTeIr4 at its PBEsol-relaxed geometry.

## Properties
SG ... No. 216
Density of states at the Fermi level ... 7.79 states/eV/cell
E_form (uncorrected) ... 269 kJ/mol of formula units
Total magnetization ... 0.00 μB per formula unit

a b c (Å): 5.2085 5.2085 5.2085
angles (deg): 60.00 60.00 60.00
Atoms (fractional coordinates):
Al 0.0000 0.0000 0.0000
Te 0.7500 0.7500 0.7500
Ir 0.3748 0.3748 0.3748
Ir 0.3748 0.3748 0.8757
Ir 0.3748 0.8757 0.3748
Ir 0.8757 0.3748 0.3748

=====

DFT (meta-GGA SCAN) results for AlTeIr2 at its PBEsol-relaxed geometry.

## Properties
SG ... No. 122
Density of states at the Fermi level ... 4.39 states/eV/cell
E_form (uncorrected) ... -17 kJ/mol of formula units
Total magnetization ... 0.00 μB per formula unit
Energy relative to the lowest polymorph listed for this composition ... 17 meV/atom

a b c (Å): 8.7890 8.7890 8.7890
angles (deg): 152.85 152.85 38.77
Atoms (fractional coordinates):
Al 0.0000 0.0000 0.0000
Al 0.7500 0.2500 0.5000
Te 0.2500 0.7500 0.5000
Te 0.5000 0.5000 0.0000
Ir 0.1153 0.6250 0.9903
Ir 0.3750 0.3653 0.4903
Ir 0.6347 0.1250 0.0097
Ir 0.8750 0.8847 0.5097

=====

DFT (meta-GGA SCAN) results for AlTeIr2 at its PBEsol-relaxed geometry.

## Properties
SG ... No. 65
Density of states at the Fermi level ... 1.43 states/eV/cell
E_form (uncorrected) ... -12 kJ/mol of formula units
Total magnetization ... 0.00 μB per formula unit
Energy relative to the lowest polymorph listed for this composition ... 29 meV/atom

a b c (Å): 4.6487 4.6487 3.0281
angles (deg): 90.00 90.00 101.37
Atoms (fractional coordinates):
Al 0.0000 0.0000 0.0000
Te 0.5000 0.5000 0.0000
Ir 0.0000 0.5000 0.5000
Ir 0.5000 0.0000 0.5000

=====

DFT (meta-GGA SCAN) results for ThAlIr at its PBEsol-relaxed geometry.

## Properties
SG ... No. 189
Density of states at the Fermi level ... 5.04 states/eV/cell
ΔE_f ... -1119 meV per atom
Total magnetization ... 0.00 μB per formula unit

a b c (Å): 7.1047 7.1047 4.1474
angles (deg): 90.00 90.00 120.00
Atoms (fractional coordinates):
Th 0.0000 0.4195 0.0000
Th 0.4195 0.0000 0.0000
Th 0.5805 0.5805 0.0000
Al 0.0000 0.7701 0.5000
Al 0.2299 0.2299 0.5000
Al 0.7701 0.0000 0.5000
Ir 0.0000 0.0000 0.0000
Ir 0.3333 0.6667 0.5000
Ir 0.6667 0.3333 0.5000

=====

DFT (meta-GGA SCAN) results for AlTlIr2 at its PBEsol-relaxed geometry.

## Properties
SG ... No. 119
Density of states at the Fermi level ... 3.04 states/eV/cell
ΔE_f ... 182 meV per atom
Total magnetization ... 0.00 μB per formula unit
Energy relative to the lowest polymorph listed for this composition ... 126 meV/atom

a b c (Å): 5.0378 5.0378 5.0378
angles (deg): 134.89 134.89 65.69
Atoms (fractional coordinates):
Al 0.0000 0.0000 0.0000
Tl 0.2500 0.7500 0.5000
Ir 0.5000 0.5000 0.0000
Ir 0.7500 0.2500 0.5000

=====

DFT (meta-GGA SCAN) results for AlTlIr at its PBEsol-relaxed geometry.

## Properties
SG ... No. 156
Density of states at the Fermi level ... 1.42 states/eV/cell
ΔE_f ... 34 meV per atom
Total magnetization ... 0.00 μB per formula unit

a b c (Å): 3.0714 3.0714 6.5415
angles (deg): 90.00 90.00 120.00
Atoms (fractional coordinates):
Al 0.0000 0.0000 0.0000
Tl 0.6667 0.3333 0.3835
Ir 0.3333 0.6667 0.7363

=====

DFT (meta-GGA SCAN) results for Al2TlIr at its PBEsol-relaxed geometry.

## Properties
SG ... No. 99
Density of states at the Fermi level ... 1.52 states/eV/cell
ΔE_f ... -83 meV per atom
Total magnetization ... 0.00 μB per formula unit

a b c (Å): 3.3862 3.3862 6.1971
angles (deg): 90.00 90.00 90.00
Atoms (fractional coordinates):
Al 0.0000 0.0000 0.0000
Al 0.5000 0.5000 0.2587
Tl 0.5000 0.5000 0.7191
Ir 0.0000 0.0000 0.3914

=====

DFT (meta-GGA SCAN) results for Al2TlIr at its PBEsol-relaxed geometry.

## Properties
SG ... No. 47
Density of states at the Fermi level ... 1.74 states/eV/cell
ΔE_f ... 239 meV per atom
Total magnetization ... 0.00 μB per formula unit

a b c (Å): 3.1320 4.4292 4.9388
angles (deg): 90.00 90.00 90.00
Atoms (fractional coordinates):
Al 0.0000 0.0000 0.0000
Al 0.5000 0.0000 0.5000
Tl 0.0000 0.5000 0.5000
Ir 0.5000 0.5000 0.0000

=====

DFT (meta-GGA SCAN) results for Al2TlIr at its PBEsol-relaxed geometry.

## Properties
SG ... No. 216
Density of states at the Fermi level ... 1.46 states/eV/cell
ΔE_f ... 244 meV per atom
Total magnetization ... 0.00 μB per formula unit

a b c (Å): 4.5843 4.5843 4.5843
angles (deg): 60.00 60.00 60.00
Atoms (fractional coordinates):
Al 0.0000 0.0000 0.0000
Al 0.2500 0.2500 0.2500
Tl 0.7500 0.7500 0.7500
Ir 0.5000 0.5000 0.5000

=====

DFT (meta-GGA SCAN) results for AlTlIr2 at its PBEsol-relaxed geometry.

## Properties
SG ... No. 25
Density of states at the Fermi level ... 2.20 states/eV/cell
ΔE_f ... 57 meV per atom
Total magnetization ... 0.00 μB per formula unit
Energy relative to the lowest polymorph listed for this composition ... 0 meV/atom

a b c (Å): 2.8680 3.8838 5.8453
angles (deg): 90.00 90.00 90.00
Atoms (fractional coordinates):
Al 0.0000 0.0000 0.0000
Tl 0.5000 0.5000 0.6601
Ir 0.0000 0.0000 0.4259
Ir 0.5000 0.5000 0.1421

=====

DFT (meta-GGA SCAN) results for U2Al9Ir3 at its PBEsol-relaxed geometry.

## Properties
SG ... No. 63
Density of states at the Fermi level ... 9.38 states/eV/cell
ΔE_f ... -725 meV per atom
Total magnetization ... 4.35 μB per formula unit

a b c (Å): 7.5216 7.5216 9.2829
angles (deg): 90.00 90.00 60.63
Atoms (fractional coordinates):
U 0.0036 0.6738 0.7500
U 0.3262 0.9964 0.7500
U 0.6738 0.0036 0.2500
U 0.9964 0.3262 0.2500
Al 0.0021 0.6630 0.0758
Al 0.0021 0.6630 0.4242
Al 0.1300 0.8700 0.2500
Al 0.3340 0.6660 0.5533
Al 0.3340 0.6660 0.9467
Al 0.3370 0.9979 0.0758
Al 0.3370 0.9979 0.4242
Al 0.3421 0.4488 0.2500
Al 0.4488 0.3421 0.7500
Al 0.5512 0.6579 0.2500
Al 0.6579 0.5512 0.7500
Al 0.6630 0.0021 0.5758
Al 0.6630 0.0021 0.9242
Al 0.6660 0.3340 0.0533
Al 0.6660 0.3340 0.4467
Al 0.8700 0.1300 0.7500
Al 0.9979 0.3370 0.5758
Al 0.9979 0.3370 0.9242
Ir 0.0000 0.0000 0.0000
Ir 0.0000 0.0000 0.5000
Ir 0.3272 0.3272 0.0000
Ir 0.3272 0.3272 0.5000
Ir 0.6728 0.6728 0.0000
Ir 0.6728 0.6728 0.5000

=====

DFT (meta-GGA SCAN) results for AlIr2W at its PBEsol-relaxed geometry.

## Properties
SG ... No. 123
Density of states at the Fermi level ... 0.91 states/eV/cell
ΔE_f ... -784 meV per atom
Total magnetization ... 0.00 μB per formula unit

a b c (Å): 2.8222 2.8222 7.0474
angles (deg): 90.00 90.00 90.00
Atoms (fractional coordinates):
Al 0.0000 0.0000 0.0000
Ir 0.5000 0.5000 0.2341
Ir 0.5000 0.5000 0.7659
W 0.0000 0.0000 0.5000

=====

DFT (meta-GGA SCAN) results for AlIr2W at its PBEsol-relaxed geometry.

## Properties
SG ... No. 47
Density of states at the Fermi level ... 2.93 states/eV/cell
ΔE_f ... -155 meV per atom
Total magnetization ... 0.00 μB per formula unit

a b c (Å): 2.8163 4.4669 4.6156
angles (deg): 90.00 90.00 90.00
Atoms (fractional coordinates):
Al 0.0000 0.0000 0.0000
Ir 0.0000 0.5000 0.5000
Ir 0.5000 0.5000 0.0000
W 0.5000 0.0000 0.5000

=====

DFT (meta-GGA SCAN) results for AlIr2W at its PBEsol-relaxed geometry.

## Properties
SG ... No. 123
Density of states at the Fermi level ... 3.19 states/eV/cell
ΔE_f ... -411 meV per atom
Total magnetization ... 0.00 μB per formula unit

a b c (Å): 4.5787 4.5787 2.7895
angles (deg): 90.00 90.00 90.00
Atoms (fractional coordinates):
Al 0.0000 0.0000 0.0000
Ir 0.0000 0.5000 0.5000
Ir 0.5000 0.0000 0.5000
W 0.5000 0.5000 0.0000

=====

DFT (meta-GGA SCAN) results for AlIr2W at its PBEsol-relaxed geometry.

## Properties
SG ... No. 12
Density of states at the Fermi level ... 2.88 states/eV/cell
ΔE_f ... -321 meV per atom
Total magnetization ... 0.00 μB per formula unit

a b c (Å): 4.6458 4.6458 4.7919
angles (deg): 99.26 99.26 34.46
Atoms (fractional coordinates):
Al 0.0000 0.0000 0.0000
Ir 0.2515 0.2515 0.7502
Ir 0.7485 0.7485 0.2498
W 0.5000 0.5000 0.5000

=====

DFT (meta-GGA SCAN) results for AlIrW at its PBEsol-relaxed geometry.

## Properties
SG ... No. 107
Density of states at the Fermi level ... 1.02 states/eV/cell
ΔE_f ... -535 meV per atom
Total magnetization ... 0.00 μB per formula unit

a b c (Å): 5.6804 5.6804 5.6804
angles (deg): 151.01 151.01 41.46
Atoms (fractional coordinates):
Al 0.0000 0.0000 0.0000
Ir 0.3460 0.3460 0.0000
W 0.6746 0.6746 0.0000

=====

DFT (meta-GGA SCAN) results for AlZn2IrW at its PBEsol-relaxed geometry.

## Properties
SG ... No. 123
Density of states at the Fermi level ... 3.06 states/eV/cell
ΔE_f ... 1511 meV per atom
Total magnetization ... 0.00 μB per formula unit

a b c (Å): 4.2921 4.2921 4.6252
angles (deg): 90.00 90.00 90.00
Atoms (fractional coordinates):
Al 0.0000 0.0000 0.0000
Zn 0.0000 0.5000 0.0000
Zn 0.5000 0.0000 0.0000
Ir 0.5000 0.5000 0.5000
W 0.0000 0.0000 0.5000

=====

DFT (meta-GGA SCAN) results for Y2Al9Ir3 at its PBEsol-relaxed geometry.

## Properties
SG ... No. 63
Density of states at the Fermi level ... 9.15 states/eV/cell
ΔE_f ... -1029 meV per atom
Total magnetization ... 0.08 μB per formula unit

a b c (Å): 7.4886 7.4886 9.3973
angles (deg): 90.00 90.00 60.51
Atoms (fractional coordinates):
Y 0.0052 0.6718 0.7500
Y 0.3282 0.9948 0.7500
Y 0.6718 0.0052 0.2500
Y 0.9948 0.3282 0.2500
Al 0.0007 0.6646 0.0747
Al 0.0007 0.6646 0.4253
Al 0.1287 0.8713 0.2500
Al 0.3330 0.6670 0.5513
Al 0.3330 0.6670 0.9487
Al 0.3355 0.9993 0.0747
Al 0.3355 0.9993 0.4253
Al 0.3400 0.4502 0.2500
Al 0.4502 0.3400 0.7500
Al 0.5498 0.6600 0.2500
Al 0.6600 0.5498 0.7500
Al 0.6646 0.0007 0.5747
Al 0.6646 0.0007 0.9253
Al 0.6670 0.3330 0.0513
Al 0.6670 0.3330 0.4487
Al 0.8713 0.1287 0.7500
Al 0.9993 0.3355 0.5747
Al 0.9993 0.3355 0.9253
Ir 0.0000 0.0000 0.0000
Ir 0.0000 0.0000 0.5000
Ir 0.3281 0.3281 0.0000
Ir 0.3281 0.3281 0.5000
Ir 0.6719 0.6719 0.0000
Ir 0.6719 0.6719 0.5000

=====

DFT (meta-GGA SCAN) results for YAl3Ir at its PBEsol-relaxed geometry.

## Properties
SG ... No. 221
Density of states at the Fermi level ... 4.50 states/eV/cell
ΔE_f ... 2098 meV per atom
Total magnetization ... 0.31 μB per formula unit

a b c (Å): 5.0346 5.0346 5.0346
angles (deg): 90.00 90.00 90.00
Atoms (fractional coordinates):
Y 0.0000 0.0000 0.0000
Al 0.0000 0.0000 0.5000
Al 0.0000 0.5000 0.0000
Al 0.5000 0.0000 0.0000
Ir 0.5000 0.5000 0.5000

=====

DFT (meta-GGA SCAN) results for AlZnIr2 at its PBEsol-relaxed geometry.

## Properties
SG ... No. 99
Density of states at the Fermi level ... 3.57 states/eV/cell
ΔE_f ... -209 meV per atom
Total magnetization ... 0.00 μB per formula unit

a b c (Å): 2.7447 2.7447 7.5826
angles (deg): 90.00 90.00 90.00
Atoms (fractional coordinates):
Al 0.0000 0.0000 0.0000
Zn 0.5000 0.5000 0.7197
Ir 0.0000 0.0000 0.4782
Ir 0.5000 0.5000 0.2270

=====

DFT (meta-GGA SCAN) results for AlZnIr2 at its PBEsol-relaxed geometry.

## Properties
SG ... No. 225
Density of states at the Fermi level ... 1.04 states/eV/cell
ΔE_f ... -735 meV per atom
Total magnetization ... 0.00 μB per formula unit

a b c (Å): 4.2300 4.2300 4.2300
angles (deg): 60.00 60.00 60.00
Atoms (fractional coordinates):
Al 0.0000 0.0000 0.0000
Zn 0.5000 0.5000 0.5000
Ir 0.2500 0.2500 0.2500
Ir 0.7500 0.7500 0.7500

=====

DFT (meta-GGA SCAN) results for AlZnIr2 at its PBEsol-relaxed geometry.

## Properties
SG ... No. 12
Density of states at the Fermi level ... 1.73 states/eV/cell
ΔE_f ... -490 meV per atom
Total magnetization ... 0.00 μB per formula unit

a b c (Å): 4.4210 4.4210 4.8242
angles (deg): 101.23 101.23 36.87
Atoms (fractional coordinates):
Al 0.0000 0.0000 0.0000
Zn 0.5000 0.5000 0.5000
Ir 0.2564 0.2564 0.7505
Ir 0.7436 0.7436 0.2495

=====

DFT (meta-GGA SCAN) results for AlZn2Ir at its PBEsol-relaxed geometry.

## Properties
SG ... No. 139
Density of states at the Fermi level ... 0.88 states/eV/cell
ΔE_f ... -517 meV per atom
Total magnetization ... 0.00 μB per formula unit

a b c (Å): 4.7955 4.7955 4.7955
angles (deg): 135.01 135.01 65.52
Atoms (fractional coordinates):
Al 0.0000 0.0000 0.0000
Zn 0.2500 0.7500 0.5000
Zn 0.7500 0.2500 0.5000
Ir 0.5000 0.5000 0.0000

=====

DFT (meta-GGA SCAN) results for AlZn2Ir at its PBEsol-relaxed geometry.

## Properties
SG ... No. 119
Density of states at the Fermi level ... 1.14 states/eV/cell
ΔE_f ... -487 meV per atom
Total magnetization ... 0.00 μB per formula unit

a b c (Å): 4.6825 4.6825 4.6825
angles (deg): 132.65 132.65 69.20
Atoms (fractional coordinates):
Al 0.0000 0.0000 0.0000
Zn 0.5000 0.5000 0.0000
Zn 0.7500 0.2500 0.5000
Ir 0.2500 0.7500 0.5000

=====

DFT (meta-GGA SCAN) results for Zr2AlIr at its PBEsol-relaxed geometry.

## Properties
SG ... No. 38
Density of states at the Fermi level ... 2.45 states/eV/cell
ΔE_f ... -795 meV per atom
Total magnetization ... 0.00 μB per formula unit

a b c (Å): 4.2032 5.4407 5.4407
angles (deg): 36.62 90.00 90.00
Atoms (fractional coordinates):
Zr 0.0000 0.0000 0.0000
Zr 0.5000 0.2953 0.2953
Al 0.5000 0.5748 0.5748
Ir 0.0000 0.7327 0.7327

=====

DFT (meta-GGA SCAN) results for ZrAl2Ir at its PBEsol-relaxed geometry.

## Properties
SG ... No. 225
Density of states at the Fermi level ... 3.77 states/eV/cell
ΔE_f ... -636 meV per atom
Total magnetization ... 1.20 μB per formula unit

a b c (Å): 4.4585 4.4585 4.4585
angles (deg): 60.00 60.00 60.00
Atoms (fractional coordinates):
Zr 0.0000 0.0000 0.0000
Al 0.2500 0.2500 0.2500
Al 0.7500 0.7500 0.7500
Ir 0.5000 0.5000 0.5000